10
Lattice="4.305 0.000 0.000 0.000 7.090 0.000 0.000 0.000 9.356" Properties=species:S:1:pos:R:3 comment="AcYSe3, optimized geometry, DFT PBE-GGA" polymorph_energy_ev_per_atom=0.0258 crystal_system=orthorhombic raw_formation_energy_kj_per_mol_fu=-934 magnetic_moment_mub_per_atom=0.0000 total_energy_ev_per_atom=-6.14 pbc="T T T"
Ac 1.076 1.772 1.404
Ac 3.229 5.317 7.952
Y 1.076 5.317 3.758
Y 3.229 1.772 5.598
Se 1.076 3.651 6.169
Se 1.076 5.317 0.747
Se 1.076 6.983 6.169
Se 3.229 0.107 3.187
Se 3.229 1.772 8.609
Se 3.229 3.438 3.187